w:
# AlCuReNi, optimized geometry, DFT PBE-GGA
data_AlCuReNi
_symmetry_space_group_name_H-M 'F -4 3 m'
_symmetry_Int_Tables_number 216
_symmetry_space_group_name_Hall 'F -4 2 3'
_cell_length_a 5.9262
_cell_length_b 5.9262
_cell_length_c 5.9262
_cell_angle_alpha 90.00
_cell_angle_beta 90.00
_cell_angle_gamma 90.00
loop_
_atom_site_label
_atom_site_type_symbol
_atom_site_fract_x
_atom_site_fract_y
_atom_site_fract_z
Al1 Al 0.0000 0.0000 0.0000
Cu1 Cu 0.2500 0.2500 0.2500
Re1 Re 0.0000 0.0000 0.5000
Ni1 Ni 0.2500 0.2500 0.7500
# Calculated volume, A^3/atom: 13.0


x:
# AlCuReNi, optimized geometry, DFT PBE-GGA
data_AlCuReNi
_symmetry_space_group_name_H-M 'F -4 3 m'
_symmetry_Int_Tables_number 216
_symmetry_space_group_name_Hall 'F -4 2 3'
_cell_length_a 5.9320
_cell_length_b 5.9320
_cell_length_c 5.9320
_cell_angle_alpha 90.00
_cell_angle_beta 90.00
_cell_angle_gamma 90.00
loop_
_atom_site_label
_atom_site_type_symbol
_atom_site_fract_x
_atom_site_fract_y
_atom_site_fract_z
Al1 Al 0.0000 0.0000 0.0000
Cu1 Cu 0.2500 0.2500 0.2500
Re1 Re 0.2500 0.2500 0.7500
Ni1 Ni 0.0000 0.0000 0.5000
# Calculated volume, A^3/atom: 13.0


Name the least stable of them. w.


w:
# AlCuNiW, optimized geometry, DFT PBE-GGA
data_AlCuNiW
_symmetry_space_group_name_H-M 'F -4 3 m'
_symmetry_Int_Tables_number 216
_symmetry_space_group_name_Hall 'F -4 2 3'
_cell_length_a 5.9778
_cell_length_b 5.9778
_cell_length_c 5.9778
_cell_angle_alpha 90.00
_cell_angle_beta 90.00
_cell_angle_gamma 90.00
loop_
_atom_site_label
_atom_site_type_symbol
_atom_site_fract_x
_atom_site_fract_y
_atom_site_fract_z
Al1 Al 0.0000 0.0000 0.0000
Cu1 Cu 0.2500 0.2500 0.2500
Ni1 Ni 0.0000 0.0000 0.5000
W1 W 0.2500 0.2500 0.7500
# Calculated volume, A^3/atom: 13.4


x:
# AlCuNiW, optimized geometry, DFT PBE-GGA
data_AlCuNiW
_symmetry_space_group_name_H-M 'F -4 3 m'
_symmetry_Int_Tables_number 216
_symmetry_space_group_name_Hall 'F -4 2 3'
_cell_length_a 5.9476
_cell_length_b 5.9476
_cell_length_c 5.9476
_cell_angle_alpha 90.00
_cell_angle_beta 90.00
_cell_angle_gamma 90.00
loop_
_atom_site_label
_atom_site_type_symbol
_atom_site_fract_x
_atom_site_fract_y
_atom_site_fract_z
Al1 Al 0.0000 0.0000 0.0000
Cu1 Cu 0.2500 0.2500 0.2500
Ni1 Ni 0.2500 0.2500 0.7500
W1 W 0.0000 0.0000 0.5000
# Calculated volume, A^3/atom: 13.1


Name the least stable of them. w.